# 1
DFT (PBE) results for an optimized crystal structure of CaLa2Fe.

a b c (Å): 6.0516 6.5491 3.4818
angles (deg): 77.67 83.51 115.59
With the nearest neighbours (Å) after each atom.
Fractional coordinates of all 4 atoms:
Ca 0.0000 0.5000 0.5000  4 Fe 3.32-3.66, 4 La 3.36, 2 Ca 3.48
Fe 0.5000 0.5000 0.0000  4 Ca 3.32-3.66, 4 La 3.36, 2 Fe 3.48
La 0.0000 0.0000 0.0000  6 La 3.32-3.66, 2 Fe 3.36, 2 Ca 3.36
La 0.5000 0.0000 0.5000  6 La 3.32-3.66, 2 Ca 3.36, 2 Fe 3.36

## Properties
Space group: C2/m, No. 12
Relative energy among the computed polymorphs in eV per atom: 0.3966

---

# 2
DFT (PBE) results for an optimized crystal structure of CaLa2Fe.

a b c (Å): 3.7210 4.4875 8.0229
angles (deg): 73.80 90.00 90.00
With the nearest neighbours (Å) after each atom.
Fractional coordinates of all 4 atoms:
Ca 0.0000 0.6717 0.5324  2 Fe 3.39, 2 La 3.50-3.51, 2 Ca 3.72
Fe 0.5000 0.4869 0.8997  1 La 2.20
La 0.0000 0.9960 0.8823  4 Fe 2.92
La 0.5000 0.3454 0.1856  1 Fe 2.20

## Properties
Space group: Amm2, No. 38
Relative energy among the computed polymorphs in eV per atom: 0.0506

---

# 3
DFT (PBE) results for an optimized crystal structure of CaLaFe2.

a b c (Å): 3.7077 3.6808 7.7850
angles (deg): 61.80 90.00 90.00
With the nearest neighbours (Å) after each atom.
Fractional coordinates of all 4 atoms:
Ca 0.5000 0.7500 0.7500  8 Fe 3.39, 2 La 3.43, 4 Ca 3.68-3.71
Fe 0.0000 0.9357 0.0643  1 Fe 2.55
Fe 0.0000 0.5643 0.4357  1 Fe 2.55
La 0.5000 0.2500 0.2500  8 Fe 2.91

## Properties
Space group: Pmmm, No. 47

---

# 4
DFT (PBE) results for an optimized crystal structure of CaLa2Fe.

a b c (Å): 5.2620 5.2649 4.2861
angles (deg): 90.00 90.00 90.00
With the nearest neighbours (Å) after each atom.
Fractional coordinates of all 4 atoms:
Ca 0.5000 0.0000 0.5000  8 La 3.39, 4 Fe 3.72
Fe 0.0000 0.5000 0.5000  8 La 3.39, 4 Ca 3.72
La 0.0000 0.0000 0.0000  4 Ca 3.39, 4 Fe 3.39, 4 La 3.72
La 0.5000 0.5000 0.0000  4 Fe 3.39, 4 Ca 3.39, 4 La 3.72

## Properties
Space group: P4/mmm, No. 123
Relative energy among the computed polymorphs in eV per atom: 0.2746

---

# 5
DFT (PBE) results for an optimized crystal structure of CaLa2Fe.

a b c (Å): 3.5915 3.5909 10.2648
angles (deg): 71.03 90.00 90.00
With the nearest neighbours (Å) after each atom.
Fractional coordinates of all 4 atoms:
Ca 0.5000 0.2500 0.2500  4 Ca 3.59
Fe 0.5000 0.7500 0.7500  8 La 2.98-3.10
La 0.0000 0.0617 0.9224  4 Fe 2.98-3.10
La 0.0000 0.4383 0.5776  4 Fe 2.98-3.10

## Properties
Space group: P2/m, No. 10
Relative energy among the computed polymorphs in eV per atom: 0.0016

---

# 6
DFT (PBE) results for an optimized crystal structure of CaLa2Fe.

a b c (Å): 7.8008 7.8008 7.8003
angles (deg): 60.00 60.00 90.00
With the nearest neighbours (Å) after each atom.
Fractional coordinates of all 8 atoms:
Ca 0.5000 0.5000 0.0000  12 La 4.56-4.59, 4 Ca 4.78, 4 Fe 4.78
Ca 0.2500 0.7500 0.5000  12 La 4.56-4.59, 4 Ca 4.78, 4 Fe 4.78
Fe 0.0000 0.0000 0.0000  4 La 2.39
Fe 0.7500 0.2500 0.5000  4 La 2.39
La 0.8730 0.1250 0.2500  2 Fe 2.39
La 0.8770 0.6250 0.2500  2 Fe 2.39
La 0.3750 0.1270 0.7500  2 Fe 2.39
La 0.8750 0.1230 0.7500  2 Fe 2.39

## Properties
Space group: I-42d, No. 122
Relative energy among the computed polymorphs in eV per atom: 0.1855

---

# 7
DFT (PBE) results for an optimized crystal structure of CaLa2Fe.

a b c (Å): 6.2407 6.2407 6.2407
angles (deg): 135.71 135.71 64.42
With the nearest neighbours (Å) after each atom.
Fractional coordinates of all 4 atoms:
Ca 0.5000 0.5000 0.0000  8 La 3.33-3.54, 4 Fe 3.54
Fe 0.7500 0.2500 0.5000  8 La 3.33-3.54, 4 Ca 3.54
La 0.0000 0.0000 0.0000  4 Ca 3.33, 4 Fe 3.54, 4 La 3.54
La 0.2500 0.7500 0.5000  4 Fe 3.33, 4 Ca 3.54, 4 La 3.54

## Properties
Space group: I-4m2, No. 119
Relative energy among the computed polymorphs in eV per atom: 0.3129

---

# 8
DFT (PBE) results for an optimized crystal structure of CaLaFe2.

a b c (Å): 3.7915 4.3819 6.0625
angles (deg): 68.84 90.00 90.00
With the nearest neighbours (Å) after each atom.
Fractional coordinates of all 4 atoms:
Ca 0.5000 0.7676 0.8397  7 Fe 3.07-3.35
Fe 0.0000 0.1782 0.0185  2 Fe 2.30
Fe 0.5000 0.0636 0.2479  2 Fe 2.30
La 0.0000 0.4906 0.3939  6 Fe 3.01-3.05

## Properties
Space group: Amm2, No. 38

---

Uncorrected energy (computed, eV per atom): -4.549; -4.895; -5.550; -4.671; -4.944; -4.760; -4.633; -5.740
Energy relative to the elements (computed, eV/atom): 0.5308; 0.1847; 0.4132; 0.4088; 0.1358; 0.3197; 0.4471; 0.2231